(1)
This record from Alexandria via LeMat-Bulk describes a geometry-optimized AgB2Pb structure. The functional is PBE.

abc: 4.027 4.027 8.650
angles: 76.54 76.54 90.00
Positions (direct):
Ag 0.500 0.500 0.000
Ag 0.250 0.750 0.500
B 0.875 0.625 0.750
B 0.375 0.625 0.750
B 0.375 0.625 0.250
B 0.375 0.125 0.250
Pb 0.000 0.000 0.000
Pb 0.750 0.250 0.500

=====

(2)
This record from Alexandria via LeMat-Bulk describes a geometry-optimized AgBPb structure. The functional is PBE.

abc: 4.473 4.506 7.109
angles: 118.93 97.58 92.76
Positions (direct):
B 0.780 0.594 0.729
B 0.569 0.610 0.538
Ag 0.800 0.175 0.821
Ag 0.295 0.675 0.825
Pb 0.921 0.116 0.373
Pb 0.368 0.460 0.171

=====

(3)
This record from Alexandria via LeMat-Bulk describes a geometry-optimized ReAg2BPb structure. The functional is PBE.

abc: 5.389 4.210 5.389
angles: 90.00 90.00 90.00
Positions (direct):
Pb 0.000 0.000 0.000
Ag 0.500 0.000 0.000
Ag 0.000 0.000 0.500
Re 0.500 0.500 0.500
B 0.000 0.500 0.000

=====

(4)
This record from Alexandria via LeMat-Bulk describes a geometry-optimized AgBRu2Pb structure. The functional is PBE.

abc: 5.146 4.164 5.146
angles: 90.00 90.00 90.00
Positions (direct):
Ru 0.000 0.000 0.500
Ru 0.500 0.000 0.000
Ag 0.500 0.500 0.500
Pb 0.000 0.000 0.000
B 0.000 0.500 0.000

=====

Number 1: energy of formation from the pure elements 1086 meV per atom. Number 2: energy of formation from the pure elements 598 meV per atom. Number 3: energy of formation from the pure elements 2280 meV per atom. Number 4: energy of formation from the pure elements 2279 meV per atom.